Entry from Alexandria: an optimized crystal structure of ZrVTc4 (PBE).

**Electronic total energy**: -9.890 eV per atom
**E_form**: -0.82 kcal/mol of atoms
**Magnetization**: 1.0 μB per formula unit
**Space group**: No. 216

a b c (Å): 5.176 5.176 5.176
angles (deg): 60.00 60.00 60.00
Positions (direct):
Zr1 0.000 0.000 0.000
V1 0.250 0.250 0.250
Tc1 0.125 0.625 0.625
Tc2 0.625 0.125 0.625
Tc3 0.625 0.625 0.125
Tc4 0.625 0.625 0.625